Record 1
Here is an optimized crystal structure of TePBr from Alexandria via LeMat-Bulk. Energies are from PBE.

Values from the calculation:
Size of the total moment: 0.0 μB per formula unit
Volume: 32.87 A^3/atom
Theoretical density: 4.015 g/cm³
Formation energy from raw total energies: 0.006 eV/atom
DOS at the Fermi energy: 0.202 states/eV/atom

a = 3.8629 Å, b = 3.8629 Å, c = 13.2181 Å
α = 90.00°, β = 90.00°, γ = 90.00°
Space group I4mm (No. 107)
Inequivalent atoms, fractional coordinates:
Te 0.0000 0.0000 0.0000 [2 per cell]
P 0.0000 0.0000 0.4569 [2 per cell]
Br 0.0000 0.0000 0.2872 [2 per cell]

=====

Record 2
Here is an optimized crystal structure of YMgFe2 from Alexandria via LeMat-Bulk. Energies are from PBE.

Values from the calculation:
Size of the total moment: 4.4 μB per formula unit
Volume: 17.68 A^3/atom
Energy of formation: 0.324 eV per atom
Theoretical density: 5.280 g/cm³
DOS at the Fermi energy: 1.217 states/eV/atom

a = 6.5648 Å, b = 6.5648 Å, c = 6.5648 Å
α = 90.00°, β = 90.00°, γ = 90.00°
Space group F-43m (No. 216)
Inequivalent atoms, fractional coordinates:
Y 0.0000 0.0000 0.0000 [4 per cell]
Mg 0.2500 0.2500 0.2500 [4 per cell]
Fe 0.0000 0.0000 0.5000 [4 per cell]
Fe 0.2500 0.2500 0.7500 [4 per cell]

=====

Record 3
Here is an optimized crystal structure of LaNdAg from Alexandria via LeMat-Bulk. Energies are from PBE.

Values from the calculation:
Size of the total moment: 0.7 μB per formula unit
Volume: 30.50 A^3/atom
Energy of formation: -0.144 eV per atom
Theoretical density: 7.096 g/cm³
ΔE to the lowest computed polymorph: 0.006 eV/atom
DOS at the Fermi energy: 1.462 states/eV/atom

a = 3.7917 Å, b = 3.7917 Å, c = 12.7285 Å
α = 90.00°, β = 90.00°, γ = 90.00°
Space group I4mm (No. 107)
Inequivalent atoms, fractional coordinates:
La 0.0000 0.0000 0.0000 [2 per cell]
Nd 0.0000 0.0000 0.2954 [2 per cell]
Ag 0.0000 0.0000 0.6542 [2 per cell]

=====

Record 4
Here is an optimized crystal structure of Tm4Ag3Hg from Alexandria via LeMat-Bulk. Energies are from PBE.

Values from the calculation:
Size of the total moment: 0.0 μB per formula unit
Volume: 24.16 A^3/atom
Energy of formation: -0.327 eV per atom
Theoretical density: 10.310 g/cm³
ΔE to the lowest computed polymorph: 0.046 eV/atom
DOS at the Fermi energy: 0.862 states/eV/atom

a = 3.6204 Å, b = 4.8119 Å, c = 11.0935 Å
α = 90.00°, β = 90.00°, γ = 90.00°
Space group Pmm2 (No. 25)
Inequivalent atoms, fractional coordinates:
Tm 0.0000 0.0000 0.0000 [1 per cell]
Tm 0.0000 0.5000 0.2829 [1 per cell]
Tm 0.5000 0.0000 0.4894 [1 per cell]
Tm 0.5000 0.5000 0.7887 [1 per cell]
Ag 0.0000 0.5000 0.5566 [1 per cell]
Ag 0.5000 0.0000 0.2210 [1 per cell]
Ag 0.5000 0.5000 0.0604 [1 per cell]
Hg 0.0000 0.0000 0.7236 [1 per cell]

=====

Record 5
Here is an optimized crystal structure of La2PrIn from Alexandria via LeMat-Bulk. Energies are from PBE.

Values from the calculation:
Size of the total moment: 0.0 μB per formula unit
Volume: 32.15 A^3/atom
Energy of formation: -0.294 eV per atom
Theoretical density: 6.890 g/cm³
ΔE to the lowest computed polymorph: 0.000 eV/atom
DOS at the Fermi energy: 1.562 states/eV/atom

a = 5.0146 Å, b = 5.0146 Å, c = 5.1136 Å
α = 90.00°, β = 90.00°, γ = 90.00°
Space group P4/mmm (No. 123)
Inequivalent atoms, fractional coordinates:
La 0.0000 0.5000 0.0000 [2 per cell]
Pr 0.0000 0.0000 0.5000 [1 per cell]
In 0.5000 0.5000 0.5000 [1 per cell]

=====

Record 6
Here is an optimized crystal structure of Li14AlCd from Alexandria via LeMat-Bulk. Energies are from PBE.

Values from the calculation:
Size of the total moment: 0.0 μB per formula unit
Volume: 18.70 A^3/atom
Energy of formation: -0.053 eV per atom
Theoretical density: 1.313 g/cm³
DOS at the Fermi energy: 0.345 states/eV/atom

a = 9.6573 Å, b = 6.5375 Å, c = 9.4774 Å
α = 90.00°, β = 90.00°, γ = 90.00°
Space group Amm2 (No. 38)
Inequivalent atoms, fractional coordinates:
Li 0.0000 0.0000 0.0000 [2 per cell]
Li 0.0000 0.0000 0.4911 [2 per cell]
Li 0.0000 0.2432 0.7443 [4 per cell]
Li 0.2582 0.0000 0.2211 [4 per cell]
Li 0.2582 0.2488 0.9648 [8 per cell]
Li 0.2619 0.0000 0.7082 [4 per cell]
Li 0.5000 0.2481 0.2143 [4 per cell]
Al 0.5000 0.0000 0.4648 [2 per cell]
Cd 0.5000 0.0000 0.9638 [2 per cell]

=====

Record 7
Here is an optimized crystal structure of TaTlCd from Alexandria via LeMat-Bulk. Energies are from PBE.

Values from the calculation:
Size of the total moment: 0.0 μB per formula unit
Volume: 21.64 A^3/atom
Energy of formation: 0.462 eV per atom
Theoretical density: 12.731 g/cm³
ΔE to the lowest computed polymorph: 0.000 eV/atom
DOS at the Fermi energy: 1.172 states/eV/atom

a = 3.1168 Å, b = 3.1168 Å, c = 7.7170 Å
α = 90.00°, β = 90.00°, γ = 120.00°
Space group P3m1 (No. 156)
Inequivalent atoms, fractional coordinates:
Ta 0.0000 0.0000 0.0000 [1 per cell]
Tl 0.6667 0.3333 0.3287 [1 per cell]
Cd 0.3333 0.6667 0.6824 [1 per cell]

=====

Record 8
Here is an optimized crystal structure of GaCu3Ni4 from Alexandria via LeMat-Bulk. Energies are from PBE.

Values from the calculation:
Size of the total moment: 0.0 μB per formula unit
Volume: 12.01 A^3/atom
Energy of formation: 0.070 eV per atom
Theoretical density: 8.560 g/cm³
ΔE to the lowest computed polymorph: 0.177 eV/atom
DOS at the Fermi energy: 0.809 states/eV/atom

a = 4.8859 Å, b = 8.2301 Å, c = 4.7771 Å
α = 90.00°, β = 90.00°, γ = 90.00°
Space group Imm2 (No. 44)
Inequivalent atoms, fractional coordinates:
Ga 0.0000 0.0000 0.0000 [2 per cell]
Cu 0.0000 0.2501 0.2619 [4 per cell]
Cu 0.0000 0.5000 0.5128 [2 per cell]
Ni 0.0000 0.2497 0.7628 [4 per cell]
Ni 0.2483 0.5000 0.0059 [4 per cell]

=====

Record 9
Here is an optimized crystal structure of ScCo4 from Alexandria via LeMat-Bulk. Energies are from PBE.

Values from the calculation:
Size of the total moment: 5.4 μB per formula unit
Volume: 15.94 A^3/atom
Energy of formation: 1.206 eV per atom
Theoretical density: 5.848 g/cm³
ΔE to the lowest computed polymorph: 1.256 eV/atom
DOS at the Fermi energy: 1.584 states/eV/atom

a = 5.4220 Å, b = 5.4220 Å, c = 5.4220 Å
α = 90.00°, β = 90.00°, γ = 90.00°
Space group Im-3m (No. 229)
Inequivalent atoms, fractional coordinates:
Sc 0.0000 0.0000 0.0000 [2 per cell]
Co 0.2500 0.2500 0.2500 [8 per cell]

=====

Record 10
Here is an optimized crystal structure of LiRuO2F from Alexandria via LeMat-Bulk. Energies are from PBE.

Values from the calculation:
Size of the total moment: 3.3 μB per formula unit
Volume: 9.18 A^3/atom
Theoretical density: 5.750 g/cm³
Formation energy from raw total energies: -0.344 eV/atom
DOS at the Fermi energy: 0.581 states/eV/atom

a = 3.7086 Å, b = 3.7086 Å, c = 3.3385 Å
α = 90.00°, β = 90.00°, γ = 90.00°
Space group P4/mmm (No. 123)
Inequivalent atoms, fractional coordinates:
Li 0.0000 0.0000 0.0000 [1 per cell]
Ru 0.5000 0.5000 0.5000 [1 per cell]
O 0.0000 0.5000 0.0000 [2 per cell]
F 0.0000 0.0000 0.5000 [1 per cell]

=====

Record 11
Here is an optimized crystal structure of K4Pu3HgSe8 from Alexandria via LeMat-Bulk. Energies are from PBE.

Values from the calculation:
Size of the total moment: 14.0 μB per formula unit
Volume: 30.12 A^3/atom
Theoretical density: 5.928 g/cm³
Formation energy from raw total energies: -1.227 eV/atom
DOS at the Fermi energy: 1.956 states/eV/atom

a = 8.5519 Å, b = 8.5519 Å, c = 22.8305 Å
α = 90.00°, β = 90.00°, γ = 120.00°
Space group R-3m (No. 166, hexagonal axes)
Inequivalent atoms, fractional coordinates:
K 0.0000 0.0000 0.0000 [3 per cell]
K 0.0000 0.5000 0.0000 [9 per cell]
Pu 0.0000 0.5000 0.5000 [9 per cell]
Hg 0.0000 0.0000 0.5000 [3 per cell]
Se 0.0000 0.0000 0.2345 [6 per cell]
Se 0.0087 0.5043 0.7654 [18 per cell]

=====

Record 12
Here is an optimized crystal structure of Er4Si9Ir13 from Alexandria via LeMat-Bulk. Energies are from PBE.

Values from the calculation:
Size of the total moment: 0.0 μB per formula unit
Volume: 15.86 A^3/atom
Theoretical density: 13.775 g/cm³
Formation energy from raw total energies: -0.983 eV/atom
DOS at the Fermi energy: 0.500 states/eV/atom

a = 3.9444 Å, b = 11.0010 Å, c = 19.0057 Å
α = 90.00°, β = 90.00°, γ = 90.00°
Space group Pmmn (No. 59, origin choice 2)
Inequivalent atoms, fractional coordinates:
Er 0.2500 0.0594 0.2078 [4 per cell]
Er 0.2500 0.2500 0.0225 [2 per cell]
Er 0.2500 0.7500 0.5198 [2 per cell]
Si 0.2500 0.0684 0.4147 [4 per cell]
Si 0.2500 0.1228 0.7294 [4 per cell]
Si 0.2500 0.2500 0.6020 [2 per cell]
Si 0.2500 0.5617 0.9195 [4 per cell]
Si 0.2500 0.7500 0.1020 [2 per cell]
Si 0.2500 0.7500 0.7327 [2 per cell]
Ir 0.2500 0.0612 0.5391 [4 per cell]
Ir 0.2500 0.1253 0.8566 [4 per cell]
Ir 0.2500 0.2500 0.3431 [2 per cell]
Ir 0.2500 0.5494 0.0468 [4 per cell]
Ir 0.2500 0.5661 0.6650 [4 per cell]
Ir 0.2500 0.6226 0.3552 [4 per cell]
Ir 0.2500 0.7500 0.2273 [2 per cell]
Ir 0.2500 0.7500 0.8587 [2 per cell]

=====

Repeat the seventh record exactly.
Here is an optimized crystal structure of TaTlCd from Alexandria via LeMat-Bulk. Energies are from PBE.

Values from the calculation:
Size of the total moment: 0.0 μB per formula unit
Volume: 21.64 A^3/atom
Energy of formation: 0.462 eV per atom
Theoretical density: 12.731 g/cm³
ΔE to the lowest computed polymorph: 0.000 eV/atom
DOS at the Fermi energy: 1.172 states/eV/atom

a = 3.1168 Å, b = 3.1168 Å, c = 7.7170 Å
α = 90.00°, β = 90.00°, γ = 120.00°
Space group P3m1 (No. 156)
Inequivalent atoms, fractional coordinates:
Ta 0.0000 0.0000 0.0000 [1 per cell]
Tl 0.6667 0.3333 0.3287 [1 per cell]
Cd 0.3333 0.6667 0.6824 [1 per cell]

=====

- Among the records above, which one has the highest size of the total moment?
  K4Pu3HgSe8